Record 1
# MgSnGeCl6

A relaxed structure of MgSnGeCl6 (PBE, Alexandria).

a = 6.386 Å, b = 6.386 Å, c = 12.042 Å
α = 90.00°, β = 90.00°, γ = 90.00°
Element x y z (fractional)
1 Mg 0.000 0.000 0.000
2 Mg 0.500 0.500 0.500
3 Sn 0.000 0.000 0.333
4 Sn 0.500 0.500 0.833
5 Ge 0.000 0.000 0.668
6 Ge 0.500 0.500 0.168
7 Cl 0.182 0.182 0.838
8 Cl 0.198 0.198 0.151
9 Cl 0.217 0.217 0.507
10 Cl 0.283 0.717 0.007
11 Cl 0.302 0.698 0.651
12 Cl 0.318 0.682 0.338
13 Cl 0.682 0.318 0.338
14 Cl 0.698 0.302 0.651
15 Cl 0.717 0.283 0.007
16 Cl 0.783 0.783 0.507
17 Cl 0.802 0.802 0.151
18 Cl 0.818 0.818 0.838

Space-group type: No. 102
ΔE_f (raw): -1169 meV per atom
Crystal system: tetragonal


Record 2
# CeHo2Er5

A relaxed structure of CeHo2Er5 (PBE, Alexandria).

a = 7.026 Å, b = 14.062 Å, c = 4.967 Å
α = 90.00°, β = 90.00°, γ = 90.00°
Element x y z (fractional)
1 Ce 0.000 0.000 0.000
2 Ce 0.500 0.500 0.000
3 Ho 0.247 0.124 0.500
4 Ho 0.253 0.624 0.500
5 Ho 0.747 0.376 0.500
6 Ho 0.753 0.876 0.500
7 Er 0.000 0.500 0.000
8 Er 0.001 0.250 0.000
9 Er 0.246 0.876 0.500
10 Er 0.254 0.376 0.500
11 Er 0.499 0.750 0.000
12 Er 0.500 0.000 0.000
13 Er 0.501 0.250 0.000
14 Er 0.746 0.624 0.500
15 Er 0.754 0.124 0.500
16 Er 0.999 0.750 0.000

ΔH_f (0 K): 0.04 eV per atom
Space-group type: No. 55
Crystal system: orthorhombic


Record 3
# BaCdPd3

A relaxed structure of BaCdPd3 (PBE, Alexandria).

a = 5.098 Å, b = 5.098 Å, c = 5.098 Å
α = 90.00°, β = 90.00°, γ = 90.00°
Element x y z (fractional)
1 Ba 0.000 0.000 0.000
2 Cd 0.500 0.500 0.500
3 Pd 0.000 0.500 0.500
4 Pd 0.500 0.000 0.500
5 Pd 0.500 0.500 0.000

ΔE to the lowest computed polymorph: 332 meV/atom
ΔH_f (0 K): -0.02 eV per atom
Space-group type: No. 221
Crystal system: cubic


Record 4
# Y2AgIrF

A relaxed structure of Y2AgIrF (PBE, Alexandria).

a = 5.399 Å, b = 5.399 Å, c = 4.198 Å
α = 90.00°, β = 90.00°, γ = 90.00°
Element x y z (fractional)
1 Y 0.000 0.500 0.000
2 Y 0.500 0.000 0.000
3 Ag 0.000 0.000 0.500
4 Ir 0.500 0.500 0.000
5 F 0.500 0.500 0.500

Space-group type: No. 123
ΔE_f (raw): -398 meV per atom
Crystal system: tetragonal


Record 5
# YRu2Pt

A relaxed structure of YRu2Pt (PBE, Alexandria).

a = 3.370 Å, b = 4.801 Å, c = 4.612 Å
α = 90.00°, β = 94.30°, γ = 90.00°
Element x y z (fractional)
1 Y 0.000 0.000 0.000
2 Ru 0.369 0.500 0.752
3 Ru 0.631 0.500 0.248
4 Pt 0.500 0.000 0.500

ΔE to the lowest computed polymorph: 192 meV/atom
ΔH_f (0 K): -0.02 eV per atom
Space-group type: No. 10
Crystal system: monoclinic


Record 6
# Eu3InCo

A relaxed structure of Eu3InCo (PBE, Alexandria).

a = 5.378 Å, b = 5.378 Å, c = 5.378 Å
α = 90.00°, β = 90.00°, γ = 90.00°
Element x y z (fractional)
1 Eu 0.000 0.000 0.500
2 Eu 0.000 0.500 0.000
3 Eu 0.500 0.000 0.000
4 In 0.500 0.500 0.500
5 Co 0.000 0.000 0.000

ΔH_f (0 K): -0.03 eV per atom
Space-group type: No. 221
Crystal system: cubic


Record 7
# K2ZnRh

A relaxed structure of K2ZnRh (PBE, Alexandria).

a = 3.198 Å, b = 3.198 Å, c = 10.426 Å
α = 90.00°, β = 90.00°, γ = 90.00°
Element x y z (fractional)
1 K 0.000 0.000 0.225
2 K 0.000 0.000 0.775
3 Zn 0.500 0.500 0.500
4 Rh 0.500 0.500 0.000

ΔH_f (0 K): 0.59 eV per atom
Space-group type: No. 123
Crystal system: tetragonal


Record 8
# SrAlAg2Se4

A relaxed structure of SrAlAg2Se4 (PBE, Alexandria).

a = 6.423 Å, b = 6.423 Å, c = 6.423 Å
α = 112.75°, β = 111.98°, γ = 103.83°
Element x y z (fractional)
1 Sr 0.000 0.000 0.000
2 Al 0.500 0.500 0.000
3 Ag 0.301 0.801 0.500
4 Ag 0.699 0.199 0.500
5 Se 0.131 0.133 0.605
6 Se 0.471 0.867 0.998
7 Se 0.529 0.526 0.395
8 Se 0.869 0.474 0.002

Space-group type: No. 23
ΔE_f (raw): -821 meV per atom
Crystal system: orthorhombic


Record 9
# BaLiCe2Te4

A relaxed structure of BaLiCe2Te4 (PBE, Alexandria).

a = 9.288 Å, b = 9.288 Å, c = 9.288 Å
α = 120.45°, β = 119.62°, γ = 89.94°
Element x y z (fractional)
1 Ba 0.500 0.000 0.000
2 Ba 0.500 0.500 0.500
3 Li 0.000 0.000 0.000
4 Li 0.500 0.000 0.500
5 Ce 0.000 0.000 0.500
6 Ce 0.000 0.500 0.000
7 Ce 0.000 0.500 0.500
8 Ce 0.500 0.500 0.000
9 Te 0.233 0.250 0.983
10 Te 0.233 0.750 0.483
11 Te 0.241 0.241 0.500
12 Te 0.241 0.742 0.000
13 Te 0.759 0.258 0.000
14 Te 0.759 0.759 0.500
15 Te 0.767 0.250 0.517
16 Te 0.767 0.750 0.017

Space-group type: No. 74
ΔE_f (raw): -1349 meV per atom
Crystal system: orthorhombic


Record 10
# Hg4TeCl

A relaxed structure of Hg4TeCl (PBE, Alexandria).

a = 6.070 Å, b = 6.070 Å, c = 6.070 Å
α = 60.00°, β = 60.00°, γ = 60.00°
Element x y z (fractional)
1 Hg 0.376 0.376 0.376
2 Hg 0.376 0.376 0.873
3 Hg 0.376 0.873 0.376
4 Hg 0.873 0.376 0.376
5 Te 0.000 0.000 0.000
6 Cl 0.750 0.750 0.750

Space-group type: No. 216
ΔE_f (raw): 115 meV per atom
Crystal system: cubic


Record 11
# KBaSrHg

A relaxed structure of KBaSrHg (PBE, Alexandria).

a = 6.227 Å, b = 6.227 Å, c = 6.227 Å
α = 60.00°, β = 60.00°, γ = 60.00°
Element x y z (fractional)
1 K 0.000 0.000 0.000
2 Ba 0.250 0.250 0.250
3 Sr 0.750 0.750 0.750
4 Hg 0.500 0.500 0.500

ΔH_f (0 K): -0.06 eV per atom
Space-group type: No. 216
Crystal system: cubic


Record 12
# InFeSiRu2

A relaxed structure of InFeSiRu2 (PBE, Alexandria).

a = 4.437 Å, b = 4.437 Å, c = 4.244 Å
α = 90.00°, β = 90.00°, γ = 90.00°
Element x y z (fractional)
1 In 0.000 0.000 0.000
2 Fe 0.500 0.500 0.000
3 Si 0.500 0.500 0.500
4 Ru 0.000 0.500 0.500
5 Ru 0.500 0.000 0.500

Space-group type: No. 123
ΔE_f (raw): 358 meV per atom
Crystal system: tetragonal


Record 13
# SiPBr2

A relaxed structure of SiPBr2 (PBE, Alexandria).

a = 3.417 Å, b = 4.376 Å, c = 5.962 Å
α = 90.00°, β = 90.00°, γ = 90.00°
Element x y z (fractional)
1 Si 0.000 0.000 0.000
2 P 0.500 0.000 0.500
3 Br 0.000 0.500 0.500
4 Br 0.500 0.500 0.000

ΔE to the lowest computed polymorph: 816 meV/atom
Space-group type: No. 47
ΔE_f (raw): 632 meV per atom
Crystal system: orthorhombic


Record 14
# SrPIrS2

A relaxed structure of SrPIrS2 (PBE, Alexandria).

a = 5.375 Å, b = 5.375 Å, c = 5.599 Å
α = 90.00°, β = 90.00°, γ = 90.00°
Element x y z (fractional)
1 Sr 0.000 0.000 0.000
2 P 0.000 0.000 0.500
3 Ir 0.500 0.500 0.500
4 S 0.000 0.500 0.000
5 S 0.500 0.000 0.000

ΔE to the lowest computed polymorph: 2168 meV/atom
Space-group type: No. 123
ΔE_f (raw): 1696 meV per atom
Crystal system: tetragonal


Record 15
# Ta3TcH8

A relaxed structure of Ta3TcH8 (PBE, Alexandria).

a = 5.505 Å, b = 5.505 Å, c = 5.505 Å
α = 132.18°, β = 132.18°, γ = 69.94°
Element x y z (fractional)
1 Ta 0.000 0.000 0.000
2 Ta 0.250 0.750 0.500
3 Ta 0.750 0.250 0.500
4 Tc 0.500 0.500 0.000
5 H 0.134 0.134 0.510
6 H 0.134 0.624 0.000
7 H 0.376 0.376 0.510
8 H 0.376 0.866 0.000
9 H 0.624 0.134 0.000
10 H 0.624 0.624 0.490
11 H 0.866 0.376 0.000
12 H 0.866 0.866 0.490

Total energy: -73.8 eV/f.u.
Space-group type: No. 139
Crystal system: tetragonal


Record 16
# Hf2UAl

A relaxed structure of Hf2UAl (PBE, Alexandria).

a = 2.968 Å, b = 2.968 Å, c = 9.246 Å
α = 90.00°, β = 90.00°, γ = 90.00°
Element x y z (fractional)
1 Hf 0.000 0.000 0.228
2 Hf 0.000 0.000 0.772
3 U 0.500 0.500 0.500
4 Al 0.500 0.500 0.000

ΔE to the lowest computed polymorph: 0 meV/atom
ΔH_f (0 K): -0.03 eV per atom
Space-group type: No. 123
Crystal system: tetragonal


Record 17
# Ce5ZnOs2Au

A relaxed structure of Ce5ZnOs2Au (PBE, Alexandria).

a = 9.095 Å, b = 9.095 Å, c = 9.095 Å
α = 129.60°, β = 129.60°, γ = 74.04°
Element x y z (fractional)
1 Ce 0.000 0.000 0.000
2 Ce 0.084 0.584 0.926
3 Ce 0.158 0.084 0.500
4 Ce 0.342 0.842 0.926
5 Ce 0.416 0.342 0.500
6 Ce 0.500 0.500 0.000
7 Ce 0.584 0.658 0.500
8 Ce 0.658 0.158 0.074
9 Ce 0.842 0.916 0.500
10 Ce 0.916 0.416 0.074
11 Zn 0.250 0.750 0.500
12 Zn 0.750 0.250 0.500
13 Os 0.118 0.382 0.500
14 Os 0.382 0.882 0.263
15 Os 0.618 0.118 0.737
16 Os 0.882 0.618 0.500
17 Au 0.250 0.250 0.000
18 Au 0.750 0.750 0.000

ΔH_f (0 K): -0.21 eV per atom
Space-group type: No. 140
Crystal system: tetragonal


Record 18
# La3PbO

A relaxed structure of La3PbO (PBE, Alexandria).

a = 5.786 Å, b = 5.786 Å, c = 9.507 Å
α = 90.00°, β = 90.00°, γ = 120.00°
Element x y z (fractional)
1 La 0.000 0.000 0.250
2 La 0.000 0.000 0.750
3 La 0.333 0.667 0.094
4 La 0.333 0.667 0.406
5 La 0.667 0.333 0.594
6 La 0.667 0.333 0.906
7 Pb 0.333 0.667 0.750
8 Pb 0.667 0.333 0.250
9 O 0.000 0.000 0.000
10 O 0.000 0.000 0.500

Space-group type: No. 194
ΔE_f (raw): -1094 meV per atom
Crystal system: hexagonal


Record 19
# TaCu2Mo

A relaxed structure of TaCu2Mo (PBE, Alexandria).

a = 5.273 Å, b = 5.273 Å, c = 5.273 Å
α = 149.38°, β = 127.72°, γ = 61.81°
Element x y z (fractional)
1 Ta 0.000 0.000 0.000
2 Cu 0.526 0.526 0.000
3 Cu 0.746 0.246 0.500
4 Mo 0.273 0.773 0.500

ΔE to the lowest computed polymorph: 147 meV/atom
ΔH_f (0 K): 0.25 eV per atom
Space-group type: No. 44
Crystal system: orthorhombic


Record 20
# Pr2SnBi

A relaxed structure of Pr2SnBi (PBE, Alexandria).

a = 4.231 Å, b = 4.231 Å, c = 6.867 Å
α = 90.00°, β = 90.00°, γ = 90.00°
Element x y z (fractional)
1 Pr 0.000 0.000 0.245
2 Pr 0.000 0.000 0.755
3 Sn 0.500 0.500 0.000
4 Bi 0.500 0.500 0.500

ΔE to the lowest computed polymorph: 155 meV/atom
ΔH_f (0 K): -0.70 eV per atom
Space-group type: No. 123
Crystal system: tetragonal


For the records above, the corresponding calculated volume values read 27.28 30.67 26.50 24.47 18.61 31.11 26.66 25.31 35.39 26.35 42.68 16.71 22.29 32.36 7.48 20.36 24.19 27.56 14.64 30.74 A^3/atom.